Density functional theory data (PBE) for crystalline Mn2Pd5Au5 at its relaxed geometry.

Properties
**DFT formation energy**: -2.1 eV per formula unit
**Volume**: 391 Å³/cell
**Total DFT energy (no corrections)**: -125.6 eV per cell
**Fermi-level density of states**: 9.3 states/eV per cell
**Total magnetic moment**: 18.146 μB/cell

Lattice parameters (Å, degrees): 12.009 4.023 9.015 90.00 116.05 90.00
Space group C2/m (No. 12)
Inequivalent atoms, fractional coordinates:
Mn1 0.084 0.000 0.246 (multiplicity 4)
Pd1 0.000 0.000 0.500 (multiplicity 2)
Pd2 0.164 0.000 0.998 (multiplicity 4)
Pd3 0.244 0.500 0.247 (multiplicity 4)
Au1 0.000 0.500 0.000 (multiplicity 2)
Au2 0.084 0.500 0.753 (multiplicity 4)
Au3 0.167 0.500 0.500 (multiplicity 4)